GdCdHg2, relaxed, DFT PBE; distance to the lowest polymorph of the same formula = 0.00 kcal/mol of atoms; SG = No. 63; calculated formation energy = -368 meV per atom; energy = -1.904 eV/atom; volume = 24.1 Å³ per atom; total magnetic moment = 0.005 μB/f.u.
1.0
-1.239 6.452 0.585
-5.183 -4.065 -0.331
0.031 -0.445 4.971
Cd Gd Hg
2 2 4
Cartesian
-4.573 -2.569 1.052
-1.819 4.511 4.173
-2.576 2.754 1.515
-3.815 -0.812 3.709
-1.936 -0.488 1.221
-5.195 0.723 1.350
-1.196 1.219 3.874
-4.456 2.430 4.003

***

Ag2HgMo, relaxed, DFT PBE; SG = No. 216; calculated formation energy = 616 meV per atom; energy = -3.583 eV/atom; volume = 18.1 Å³ per atom; total magnetic moment = 2.012 μB/f.u.
1.0
0.000 3.311 3.311
3.311 0.000 3.311
3.311 3.311 0.000
Ag Hg Mo
2 1 1
Cartesian
0.000 0.000 0.000
1.655 1.655 1.655
4.966 4.966 4.966
3.311 3.311 3.311

***

BH11AuC4IN2, relaxed, DFT PBE; SG = No. 2; energy = -5.258 eV/atom; volume = 11.9 Å³ per atom
1.0
6.059 0.000 0.001
-1.946 9.098 0.004
-0.173 -4.371 8.629
Au B C H I N
2 2 8 22 2 4
Cartesian
2.943 -2.186 4.315
-0.087 -2.186 4.314
1.544 2.859 2.103
2.396 1.868 6.531
3.568 3.647 0.753
3.161 1.279 1.074
3.950 2.639 2.926
1.235 5.200 3.362
2.705 -0.473 5.272
-0.010 2.088 5.708
0.779 3.448 7.561
0.372 1.080 7.882
1.144 5.525 0.166
2.479 1.268 0.213
4.621 3.443 0.518
4.192 1.097 0.747
0.898 2.870 1.079
3.469 4.645 1.197
2.852 0.515 1.797
4.976 2.382 2.636
1.218 1.973 2.860
3.921 3.639 3.377
3.562 1.903 3.636
0.378 2.824 4.998
0.019 1.088 5.258
2.722 2.753 5.774
-1.036 2.345 5.999
1.088 4.212 6.838
0.471 0.081 7.438
3.042 1.857 7.555
-0.252 3.630 7.887
-0.681 1.284 8.117
1.460 3.459 8.421
2.796 -0.798 8.469
4.084 7.719 1.851
-0.144 -2.992 6.783
3.080 2.622 1.717
1.404 4.188 2.802
2.536 0.539 5.832
0.860 2.105 6.917

***

NbAlIr, relaxed, DFT PBE; SG = No. 216; energy = -7.495 eV/atom; volume = 18.9 Å³ per atom; total magnetic moment = 0.003 μB/f.u.
1.0
-1.096 -4.120 -0.638
-2.698 -1.043 -3.197
1.471 -2.111 -3.459
Al Ir Nb
1 1 1
Cartesian
-0.581 -1.819 -1.824
-1.742 -5.456 -5.471
0.000 0.000 0.000

***

GdGaSnTe3, relaxed, DFT PBE; SG = No. 63; energy = -4.076 eV/atom; volume = 30.3 Å³ per atom; total magnetic moment = 0.012 μB/f.u.
1.0
-5.853 5.000 1.124
2.096 -7.219 -2.004
-0.629 -3.094 10.487
Ga Gd Sn Te
2 2 2 6
Cartesian
1.734 -7.677 0.699
-6.120 2.364 8.908
-1.879 -1.110 -0.440
-2.193 -2.656 4.804
-3.954 1.065 2.936
-0.433 -6.378 6.671
0.901 -5.565 -1.071
-1.193 -3.178 1.850
0.643 -6.833 3.225
-5.030 1.520 6.382
-3.193 -2.134 7.757
-5.288 0.253 10.678

***

Ac3Sn4Au2, relaxed, DFT PBE; SG = No. 12; energy = -4.615 eV/atom; volume = 30.3 Å³ per atom; total magnetic moment = 0.026 μB/f.u.
1.0
6.137 -2.416 0.000
6.137 2.416 0.000
-2.062 0.000 9.187
Ac Au Sn
3 2 4
Cartesian
0.000 0.000 0.000
3.424 0.000 3.068
6.788 0.000 6.120
7.076 0.000 2.770
3.136 0.000 6.417
8.551 0.000 0.458
-0.156 0.000 3.441
10.369 0.000 5.746
1.661 0.000 8.730

***

> What is the formula in the third record?

BH11AuC4IN2

***

> Which formula does entry 3 have?

BH11AuC4IN2

***

> Which of these has the highest energy?

GdCdHg2

***

> What is the formula in the fourth record?

NbAlIr